{"formula": "YScAl2", "functional": "PBE-GGA", "state": "relaxed", "lattice_angstrom": [[-1.5394, 0.3309, -2.8980], [-2.9012, 0.1648, 1.5599], [0.7386, 8.0344, 0.5250]], "species": ["Sc", "Al", "Y", "Al"], "fractional_positions": [[0.0000, 0.0000, 0.4577], [0.0000, 0.0000, 0.0403], [0.5000, 0.5000, 0.7766], [0.5000, 0.5000, 0.2253]], "relative_energy_mev_per_atom": 218.7, "magnetic_moment_mub_per_cell": 0.0, "ef_ev_per_atom": -0.2110, "sg": "P4mm, No. 99", "dft_energy_ev_per_atom": -5.28}